*1*
Here is a crystal of ReSb2Ir relaxed with PBEsol from Alexandria via LeMat-Bulk. Energies are from SCAN.

The crystal system is orthorhombic. As for the total moment: 0.00 Bohr magnetons per cell.

The space group is Imm2 (No. 44) and the conventional cell measures 3.3297, 4.3675 and 9.9701 Å, with angles of 90.00, 90.00 and 90.00 degrees. The asymmetric unit holds Re at (0.0000, 0.0000, 0.0000), Sb at (0.0000, 0.0000, 0.4967), Sb at (0.0000, 0.5000, 0.7257) and Ir at (0.0000, 0.5000, 0.2170).

---

*2*
Here is a crystal of ReSb2Ir relaxed with PBEsol from Alexandria via LeMat-Bulk. Energies are from SCAN.

The crystal system is tetragonal. As for the total moment: 0.00 Bohr magnetons per cell.

The space group is P4mm (No. 99) and the conventional cell measures 2.9705, 2.9705 and 9.1471 Å, with angles of 90.00, 90.00 and 90.00 degrees. The asymmetric unit holds Re at (0.0000, 0.0000, 0.0000), Sb at (0.0000, 0.0000, 0.5938), Sb at (0.5000, 0.5000, 0.2133) and Ir at (0.5000, 0.5000, 0.8225).

---

Tell me which of them is the least stable. Sure, it is *1*.

---

*1*
Here is a crystal of Sr2ReIr relaxed with PBEsol from Alexandria via LeMat-Bulk. Energies are from SCAN.

The crystal system is monoclinic. As for the total moment: 0.64 Bohr magnetons per cell.

The space group is C2/m (No. 12) and the conventional cell measures 9.9196, 2.9401 and 5.6489 Å, with angles of 90.00, 94.84 and 90.00 degrees. The asymmetric unit holds Sr at (0.2472, 0.0000, 0.2431), Re at (0.0000, 0.0000, 0.5000) and Ir at (0.0000, 0.5000, 0.0000).

---

*2*
Here is a crystal of Sr2ReIr relaxed with PBEsol from Alexandria via LeMat-Bulk. Energies are from SCAN.

The crystal system is tetragonal. As for the total moment: 0.09 Bohr magnetons per cell.

The space group is P4mm (No. 99) and the conventional cell measures 3.3696, 3.3696 and 9.2429 Å, with angles of 90.00, 90.00 and 90.00 degrees. The asymmetric unit holds Sr at (0.0000, 0.0000, 0.0000), Sr at (0.5000, 0.5000, 0.3988), Re at (0.5000, 0.5000, 0.7453) and Ir at (0.0000, 0.0000, 0.6464).

---

Tell me which of them is the least stable. Sure, it is *1*.